DFT (PBE-GGA) results for a geometry-optimized Mg2AgSn2 structure.

Summary:
Density, g/cm3: 5.043
Uncorrected energy, hartree per atom: -0.0976
Formation enthalpy at 0 K, meV per atom: 154
Energy above the lowest structure with this stoichiometry, meV/atom: 276
Size of the total moment, μB/cell: 0.00

abc: 4.539 4.539 12.593
angles: 90.00 90.00 90.00
Space group I4/mmm (No. 139)
Unique sites:
Mg1 0.000 0.500 0.250 x4
Ag1 0.000 0.000 0.000 x2
Sn1 0.000 0.000 0.392 x4

***

DFT (PBE-GGA) results for a geometry-optimized Li2Al structure.

Summary:
Density, g/cm3: 1.424
Uncorrected energy, hartree per atom: -0.0915
Formation enthalpy at 0 K, meV per atom: 34
Size of the total moment, μB/cell: 1.47

abc: 7.250 7.250 7.250
angles: 90.00 90.00 90.00
Space group Fd-3m (No. 227, origin choice 2)
Unique sites:
Li1 0.000 0.000 0.000 x16
Al1 0.125 0.125 0.625 x8